Entry 1:
The following is a PBE calculation of MnVSnCl6 after structural relaxation, from Alexandria.

Cell and atoms, written as CIF:
```
data_MnVSnCl6
_chemical_formula_sum 'Mn2 V2 Sn2 Cl12'
_cell_length_a 6.4881
_cell_length_b 6.4881
_cell_length_c 12.3998
_cell_angle_alpha 90.00
_cell_angle_beta 90.00
_cell_angle_gamma 120.00
_symmetry_space_group_name_H-M 'P -3 1 c'
_symmetry_Int_Tables_number 163
_symmetry_space_group_name_Hall '-P 3 2c'
loop_
_atom_site_label
_atom_site_type_symbol
_atom_site_fract_x
_atom_site_fract_y
_atom_site_fract_z
Mn1 Mn 0.3333 0.6667 0.2500
V1 V 0.3333 0.6667 0.7500
Sn1 Sn 0.0000 0.0000 0.0000
Cl1 Cl 0.0063 0.3661 0.6362
```

Calculated values
ρ: 3.21 Mg/m³
formation energy from raw total energies: -9.53 eV/f.u.
calculated volume: 25.114 Å³/atom

Entry 2:
The following is a PBE calculation of Mn2ZnSnCl8 after structural relaxation, from Alexandria.

Cell and atoms, written as CIF:
```
data_Mn2ZnSnCl8
_chemical_formula_sum 'Mn2 Zn1 Sn1 Cl8'
_cell_length_a 6.046
_cell_length_b 7.780
_cell_length_c 6.300
_cell_angle_alpha 90.00
_cell_angle_beta 91.29
_cell_angle_gamma 90.00
_symmetry_space_group_name_H-M 'P 1 2/m 1'
_symmetry_Int_Tables_number 10
loop_
_symmetry_equiv_pos_as_xyz
'x,y,z'
'-x,-y,-z'
'-x,y,-z'
'x,-y,z'
loop_
_atom_site_label
_atom_site_type_symbol
_atom_site_fract_x
_atom_site_fract_y
_atom_site_fract_z
Mn1 Mn 0.000 0.237 0.000
Zn1 Zn 0.500 0.000 0.500
Sn1 Sn 0.500 0.500 0.500
Cl1 Cl 0.203 0.500 0.847
Cl2 Cl 0.222 0.000 0.830
Cl3 Cl 0.271 0.220 0.324
```

Calculated values
ρ: 3.24 Mg/m³
formation energy from raw total energies: -12.05 eV/f.u.
calculated volume: 24.692 Å³/atom

Entry 3:
The following is a PBE calculation of SrMn2Cl after structural relaxation, from Alexandria.

Cell and atoms, written as CIF:
```
data_SrMn2Cl
_chemical_formula_sum 'Sr2 Mn4 Cl2'
_cell_length_a 3.748
_cell_length_b 4.227
_cell_length_c 11.878
_cell_angle_alpha 90.00
_cell_angle_beta 90.00
_cell_angle_gamma 90.00
_symmetry_space_group_name_H-M 'I m m m'
_symmetry_Int_Tables_number 71
_symmetry_space_group_name_Hall '-I 2 2'
loop_
_atom_site_label
_atom_site_type_symbol
_atom_site_fract_x
_atom_site_fract_y
_atom_site_fract_z
Sr1 Sr 0.000 0.000 0.000
Mn1 Mn 0.000 0.000 0.278
Cl1 Cl 0.000 0.000 0.500
```

Calculated values
energy relative to the lowest polymorph listed for this composition: 0.0000 eV per atom
ρ: 4.11 Mg/m³
formation energy from raw total energies: -0.33 eV/f.u.
calculated volume: 23.523 Å³/atom

Entry 4:
The following is a PBE calculation of SrMnCl2 after structural relaxation, from Alexandria.

Cell and atoms, written as CIF:
```
data_SrMnCl2
_chemical_formula_sum 'Sr2 Mn2 Cl4'
_cell_length_a 15.050
_cell_length_b 3.665
_cell_length_c 4.749
_cell_angle_alpha 90.00
_cell_angle_beta 90.84
_cell_angle_gamma 90.00
_symmetry_space_group_name_H-M 'C 1 m 1'
_symmetry_Int_Tables_number 8
loop_
_symmetry_equiv_pos_as_xyz
'x,y,z'
'x,-y,z'
'x+1/2,y+1/2,z'
'x+1/2,-y+1/2,z'
loop_
_atom_site_label
_atom_site_type_symbol
_atom_site_fract_x
_atom_site_fract_y
_atom_site_fract_z
Sr1 Sr 0.000 0.000 0.000
Mn1 Mn 0.205 0.500 0.003
Cl1 Cl 0.009 0.500 0.500
Cl2 Cl 0.336 0.000 0.992
```

Calculated values
energy relative to the lowest polymorph listed for this composition: 0.0456 eV per atom
ρ: 2.71 Mg/m³
formation energy from raw total energies: -3.73 eV/f.u.
calculated volume: 32.738 Å³/atom

Entry 5:
The following is a PBE calculation of SrMnCl2 after structural relaxation, from Alexandria.

Cell and atoms, written as CIF:
```
data_SrMnCl2
_chemical_formula_sum 'Sr2 Mn2 Cl4'
_cell_length_a 4.227
_cell_length_b 4.227
_cell_length_c 11.811
_cell_angle_alpha 90.00
_cell_angle_beta 90.00
_cell_angle_gamma 90.00
_symmetry_space_group_name_H-M 'I -4 m 2'
_symmetry_Int_Tables_number 119
_symmetry_space_group_name_Hall 'I -4 -2'
loop_
_atom_site_label
_atom_site_type_symbol
_atom_site_fract_x
_atom_site_fract_y
_atom_site_fract_z
Sr1 Sr 0.000 0.000 0.000
Mn1 Mn 0.000 0.500 0.250
Cl1 Cl 0.000 0.000 0.500
Cl2 Cl 0.000 0.500 0.750
```

Calculated values
energy relative to the lowest polymorph listed for this composition: 0.1772 eV per atom
ρ: 3.36 Mg/m³
formation energy from raw total energies: -3.21 eV/f.u.
calculated volume: 26.375 Å³/atom

Entry 6:
The following is a PBE calculation of SrMnCl2 after structural relaxation, from Alexandria.

Cell and atoms, written as CIF:
```
data_SrMnCl2
_chemical_formula_sum 'Sr4 Mn4 Cl8'
_cell_length_a 7.535
_cell_length_b 7.535
_cell_length_c 7.535
_cell_angle_alpha 90.00
_cell_angle_beta 90.00
_cell_angle_gamma 90.00
_symmetry_space_group_name_H-M 'F -4 3 m'
_symmetry_Int_Tables_number 216
_symmetry_space_group_name_Hall 'F -4 2 3'
loop_
_atom_site_label
_atom_site_type_symbol
_atom_site_fract_x
_atom_site_fract_y
_atom_site_fract_z
Sr1 Sr 0.000 0.000 0.000
Mn1 Mn 0.250 0.250 0.250
Cl1 Cl 0.000 0.000 0.500
Cl2 Cl 0.250 0.250 0.750
```

Calculated values
energy relative to the lowest polymorph listed for this composition: 0.4979 eV per atom
ρ: 3.31 Mg/m³
formation energy from raw total energies: -1.93 eV/f.u.
calculated volume: 26.740 Å³/atom

Entry 7:
The following is a PBE calculation of SrMnCl2 after structural relaxation, from Alexandria.

Cell and atoms, written as CIF:
```
data_SrMnCl2
_chemical_formula_sum 'Sr2 Mn2 Cl4'
_cell_length_a 4.115
_cell_length_b 6.311
_cell_length_c 9.108
_cell_angle_alpha 90.00
_cell_angle_beta 90.00
_cell_angle_gamma 90.00
_symmetry_space_group_name_H-M 'I m m m'
_symmetry_Int_Tables_number 71
_symmetry_space_group_name_Hall '-I 2 2'
loop_
_atom_site_label
_atom_site_type_symbol
_atom_site_fract_x
_atom_site_fract_y
_atom_site_fract_z
Sr1 Sr 0.000 0.000 0.000
Mn1 Mn 0.000 0.000 0.500
Cl1 Cl 0.000 0.500 0.278
```

Calculated values
energy relative to the lowest polymorph listed for this composition: 0.1336 eV per atom
ρ: 3.00 Mg/m³
formation energy from raw total energies: -3.38 eV/f.u.
calculated volume: 29.563 Å³/atom

Entry 8:
The following is a PBE calculation of SrMnCl4 after structural relaxation, from Alexandria.

Cell and atoms, written as CIF:
```
data_SrMnCl4
_chemical_formula_sum 'Sr4 Mn4 Cl16'
_cell_length_a 8.596
_cell_length_b 8.596
_cell_length_c 8.596
_cell_angle_alpha 90.00
_cell_angle_beta 90.00
_cell_angle_gamma 90.00
_symmetry_space_group_name_H-M 'F -4 3 m'
_symmetry_Int_Tables_number 216
_symmetry_space_group_name_Hall 'F -4 2 3'
loop_
_atom_site_label
_atom_site_type_symbol
_atom_site_fract_x
_atom_site_fract_y
_atom_site_fract_z
Sr1 Sr 0.000 0.000 0.000
Mn1 Mn 0.250 0.250 0.250
Cl1 Cl 0.125 0.125 0.625
```

Calculated values
ρ: 2.97 Mg/m³
formation energy from raw total energies: -1.60 eV/f.u.
calculated volume: 26.463 Å³/atom

Entry 9:
The following is a PBE calculation of SrMn3Cl8 after structural relaxation, from Alexandria.

Cell and atoms, written as CIF:
```
data_SrMn3Cl8
_chemical_formula_sum 'Sr2 Mn6 Cl16'
_cell_length_a 13.440
_cell_length_b 7.795
_cell_length_c 7.847
_cell_angle_alpha 90.00
_cell_angle_beta 125.46
_cell_angle_gamma 90.00
_symmetry_space_group_name_H-M 'C 1 2/m 1'
_symmetry_Int_Tables_number 12
loop_
_symmetry_equiv_pos_as_xyz
'x,y,z'
'-x,-y,-z'
'-x,y,-z'
'x,-y,z'
'x+1/2,y+1/2,z'
'-x+1/2,-y+1/2,-z'
'-x+1/2,y+1/2,-z'
'x+1/2,-y+1/2,z'
loop_
_atom_site_label
_atom_site_type_symbol
_atom_site_fract_x
_atom_site_fract_y
_atom_site_fract_z
Sr1 Sr 0.000 0.000 0.000
Mn1 Mn 0.000 0.500 0.000
Mn2 Mn 0.250 0.250 0.500
Cl1 Cl 0.017 0.275 0.253
Cl2 Cl 0.240 0.500 0.264
Cl3 Cl 0.242 0.500 0.703
```

Calculated values
ρ: 2.66 Mg/m³
formation energy from raw total energies: -16.67 eV/f.u.
calculated volume: 27.900 Å³/atom

Entry 10:
The following is a PBE calculation of SrMn2Cl after structural relaxation, from Alexandria.

Cell and atoms, written as CIF:
```
data_SrMn2Cl
_chemical_formula_sum 'Sr1 Mn2 Cl1'
_cell_length_a 3.467
_cell_length_b 6.303
_cell_length_c 4.540
_cell_angle_alpha 90.00
_cell_angle_beta 90.13
_cell_angle_gamma 90.00
_symmetry_space_group_name_H-M 'P 1 2/m 1'
_symmetry_Int_Tables_number 10
loop_
_symmetry_equiv_pos_as_xyz
'x,y,z'
'-x,-y,-z'
'-x,y,-z'
'x,-y,z'
loop_
_atom_site_label
_atom_site_type_symbol
_atom_site_fract_x
_atom_site_fract_y
_atom_site_fract_z
Sr1 Sr 0.000 0.000 0.000
Mn1 Mn 0.263 0.500 0.762
Cl1 Cl 0.500 0.000 0.500
```

Calculated values
energy relative to the lowest polymorph listed for this composition: 0.0884 eV per atom
ρ: 3.90 Mg/m³
formation energy from raw total energies: 0.03 eV/f.u.
calculated volume: 24.797 Å³/atom

Number 1: M_tot 16.000 Bohr magnetons per cell. Number 2: M_tot 9.998 Bohr magnetons per cell. Number 3: M_tot 16.119 Bohr magnetons per cell. Number 4: M_tot 9.993 Bohr magnetons per cell. Number 5: M_tot 9.690 Bohr magnetons per cell. Number 6: M_tot 20.000 Bohr magnetons per cell. Number 7: M_tot 10.000 Bohr magnetons per cell. Number 8: M_tot 28.157 Bohr magnetons per cell. Number 9: M_tot 30.000 Bohr magnetons per cell. Number 10: M_tot 8.116 Bohr magnetons per cell.